VASP calculation (PBE) on an optimized crystal structure of SmTm5P6.

Unit cell a=6.889 b=11.928 c=6.886 alpha=90.00 beta=109.50 gamma=90.00
Space group C2/m (No. 12)
Inequivalent atoms, fractional coordinates:
Sm (0.000, 0.000, 0.000) [2 per cell]
Tm (0.000, 0.166, 0.500) [4 per cell]
Tm (0.000, 0.333, 0.000) [4 per cell]
Tm (0.000, 0.500, 0.500) [2 per cell]
P (0.246, 0.331, 0.746) [8 per cell]
P (0.246, 0.500, 0.253) [4 per cell]



VASP calculation (PBE) on an optimized crystal structure of Sm2TmP.

Unit cell a=3.8136 b=3.8136 c=30.2403 alpha=90.00 beta=90.00 gamma=120.00
Space group R-3m (No. 166, hexagonal axes)
Inequivalent atoms, fractional coordinates:
Sm (0.0000, 0.0000, 0.1118) [6 per cell]
Tm (0.0000, 0.0000, 0.0000) [3 per cell]
P (0.0000, 0.0000, 0.5000) [3 per cell]



VASP calculation (PBE) on an optimized crystal structure of SmTm2P3.

Unit cell a=4.005 b=5.665 c=12.001 alpha=90.00 beta=90.00 gamma=90.00
Space group Immm (No. 71)
Inequivalent atoms, fractional coordinates:
Sm (0.000, 0.000, 0.000) [2 per cell]
Tm (0.000, 0.000, 0.334) [4 per cell]
P (0.000, 0.500, 0.000) [2 per cell]
P (0.000, 0.500, 0.328) [4 per cell]



VASP calculation (PBE) on an optimized crystal structure of SmTm4P5.

Unit cell a=8.902 b=8.902 c=5.635 alpha=90.00 beta=90.00 gamma=90.00
Space group I4/m (No. 87)
Inequivalent atoms, fractional coordinates:
Sm (0.000, 0.000, 0.000) [2 per cell]
Tm (0.101, 0.300, 0.500) [8 per cell]
P (0.000, 0.000, 0.500) [2 per cell]
P (0.102, 0.305, 0.000) [8 per cell]



VASP calculation (PBE) on an optimized crystal structure of Sm5TmP6.

Unit cell a=7.073 b=12.246 c=7.071 alpha=90.00 beta=109.49 gamma=90.00
Space group C2/m (No. 12)
Inequivalent atoms, fractional coordinates:
Sm (0.000, 0.000, 0.000) [2 per cell]
Sm (0.000, 0.166, 0.500) [4 per cell]
Sm (0.000, 0.332, 0.000) [4 per cell]
Tm (0.000, 0.500, 0.500) [2 per cell]
P (0.246, 0.336, 0.747) [8 per cell]
P (0.246, 0.500, 0.253) [4 per cell]



VASP calculation (PBE) on an optimized crystal structure of Sm3TmP4.

Unit cell a=7.045 b=8.145 c=7.047 alpha=90.00 beta=109.50 gamma=90.00
Space group P2/c (No. 13)
Inequivalent atoms, fractional coordinates:
Sm (0.000, 0.124, 0.250) [2 per cell]
Sm (0.000, 0.374, 0.750) [2 per cell]
Sm (0.500, 0.374, 0.250) [2 per cell]
Tm (0.500, 0.124, 0.750) [2 per cell]
P (0.253, 0.371, 0.504) [4 per cell]
P (0.257, 0.121, 0.000) [4 per cell]



VASP calculation (PBE) on an optimized crystal structure of SmTm2P.

Unit cell a=3.6943 b=3.6943 c=30.3768 alpha=90.00 beta=90.00 gamma=120.00
Space group R-3m (No. 166, hexagonal axes)
Inequivalent atoms, fractional coordinates:
Sm (0.0000, 0.0000, 0.0000) [3 per cell]
Tm (0.0000, 0.0000, 0.1137) [6 per cell]
P (0.0000, 0.0000, 0.5000) [3 per cell]



VASP calculation (PBE) on an optimized crystal structure of Sm3TmP4.

Unit cell a=8.136 b=11.505 c=4.071 alpha=90.00 beta=90.00 gamma=90.00
Space group Cmmm (No. 65)
Inequivalent atoms, fractional coordinates:
Sm (0.000, 0.000, 0.000) [2 per cell]
Sm (0.250, 0.250, 0.500) [4 per cell]
Tm (0.000, 0.500, 0.000) [2 per cell]
P (0.000, 0.253, 0.000) [4 per cell]
P (0.244, 0.500, 0.500) [4 per cell]



VASP calculation (PBE) on an optimized crystal structure of SmTm3P4.

Unit cell a=7.977 b=11.283 c=3.991 alpha=90.00 beta=90.00 gamma=90.00
Space group Cmmm (No. 65)
Inequivalent atoms, fractional coordinates:
Sm (0.000, 0.000, 0.000) [2 per cell]
Tm (0.000, 0.500, 0.000) [2 per cell]
Tm (0.250, 0.250, 0.500) [4 per cell]
P (0.000, 0.253, 0.000) [4 per cell]
P (0.243, 0.500, 0.500) [4 per cell]



VASP calculation (PBE) on an optimized crystal structure of Sm3TmP.

Unit cell a=5.493 b=5.493 c=5.493 alpha=90.00 beta=90.00 gamma=90.00
Space group Pm-3m (No. 221)
Inequivalent atoms, fractional coordinates:
Sm (0.000, 0.000, 0.500) [3 per cell]
Tm (0.500, 0.500, 0.500) [1 per cell]
P (0.000, 0.000, 0.000) [1 per cell]



VASP calculation (PBE) on an optimized crystal structure of Sm2TmUP4.

Unit cell a=6.943 b=4.007 c=6.973 alpha=90.00 beta=109.19 gamma=90.00
Space group P2/m (No. 10)
Inequivalent atoms, fractional coordinates:
Sm (0.000, 0.000, 0.000) [1 per cell]
Sm (0.500, 0.500, 0.000) [1 per cell]
Tm (0.000, 0.500, 0.500) [1 per cell]
U (0.500, 0.000, 0.500) [1 per cell]
P (0.250, 0.000, 0.736) [2 per cell]
P (0.256, 0.500, 0.263) [2 per cell]



VASP calculation (PBE) on an optimized crystal structure of Sm3YTm2P6.

Unit cell a=6.999 b=12.120 c=6.993 alpha=90.00 beta=109.46 gamma=90.00
Space group C2/m (No. 12)
Inequivalent atoms, fractional coordinates:
Sm (0.000, 0.000, 0.000) [2 per cell]
Sm (0.000, 0.334, 0.000) [4 per cell]
Y (0.000, 0.500, 0.500) [2 per cell]
Tm (0.000, 0.167, 0.500) [4 per cell]
P (0.245, 0.000, 0.741) [4 per cell]
P (0.248, 0.332, 0.742) [8 per cell]



no.,calculated total energy (eV/atom),E_form (eV per atom)
1,-6.56,-1.5948
2,-5.29,-0.4600
3,-6.57,-1.5834
4,-6.56,-1.5913
5,-6.62,-1.5718
6,-6.61,-1.5731
7,-5.28,-0.5102
8,-6.61,-1.5722
9,-6.56,-1.5892
10,-5.19,-0.3859
11,-7.28,-1.4289
12,-6.76,-1.5865